Below is LiNb3Si after structural relaxation, with properties calculated at the PBE-GGA level.

Lattice parameters (Å, degrees): 4.727 4.727 4.727 90.00 90.00 90.00
Positions (direct):
Nb 0.000 0.500 0.000
Si 0.000 0.000 0.000
Nb 0.000 0.000 0.500
Nb 0.500 0.000 0.000
Li 0.500 0.500 0.500

## Properties
Formation energy from raw total energies = 0.755 eV/atom
SG = Pm-3m, No. 221

Below is Pm3ScPt2 after structural relaxation, with properties calculated at the PBE-GGA level.

Lattice parameters (Å, degrees): 6.906 7.253 8.466 115.36 114.07 90.00
Positions (direct):
Pm 0.230 0.480 0.460
Pm 0.230 0.980 0.460
Pm 0.500 0.750 0.000
Sc 0.000 0.000 0.000
Pt 0.147 0.865 0.730
Sc 0.000 0.500 0.000
Pt 0.582 0.365 0.730
Pt 0.418 0.635 0.270
Pm 0.770 0.020 0.540
Pm 0.500 0.250 0.000
Pm 0.770 0.520 0.540
Pt 0.853 0.135 0.270

## Properties
SG = Ibam, No. 72
Calculated formation energy = -0.757 eV/atom

> Number 2 is which compound?

Pm3ScPt2

Copy entry 2 word for word.
Below is Pm3ScPt2 after structural relaxation, with properties calculated at the PBE-GGA level.

Lattice parameters (Å, degrees): 6.906 7.253 8.466 115.36 114.07 90.00
Positions (direct):
Pm 0.230 0.480 0.460
Pm 0.230 0.980 0.460
Pm 0.500 0.750 0.000
Sc 0.000 0.000 0.000
Pt 0.147 0.865 0.730
Sc 0.000 0.500 0.000
Pt 0.582 0.365 0.730
Pt 0.418 0.635 0.270
Pm 0.770 0.020 0.540
Pm 0.500 0.250 0.000
Pm 0.770 0.520 0.540
Pt 0.853 0.135 0.270

## Properties
SG = Ibam, No. 72
Calculated formation energy = -0.757 eV/atom